Model w:
This record from the Alexandria database describes a relaxed structure of Mg3ZnAu. The functional is PBE.

Values from the calculation:
M_tot = 0.00 Bohr magnetons per cell

a = 9.789 Å, b = 9.789 Å, c = 4.543 Å
α = 103.20°, β = 103.20°, γ = 89.21°
Fractional positions:
Mg 0.033 0.210 0.374
Mg 0.116 0.618 0.119
Mg 0.210 0.033 0.874
Mg 0.280 0.454 0.619
Mg 0.382 0.884 0.381
Mg 0.454 0.280 0.119
Mg 0.546 0.720 0.881
Mg 0.618 0.116 0.619
Mg 0.720 0.546 0.381
Mg 0.790 0.967 0.126
Mg 0.884 0.382 0.881
Mg 0.967 0.790 0.626
Zn 0.255 0.745 0.750
Zn 0.413 0.587 0.250
Zn 0.587 0.413 0.750
Zn 0.745 0.255 0.250
Au 0.162 0.326 0.997
Au 0.326 0.162 0.497
Au 0.674 0.838 0.503
Au 0.838 0.674 0.003

***

Model x:
This record from the Alexandria database describes a relaxed structure of Mg3ZnAu. The functional is PBE.

Values from the calculation:
M_tot = 0.00 Bohr magnetons per cell

a = 5.116 Å, b = 5.116 Å, c = 5.116 Å
α = 90.00°, β = 90.00°, γ = 90.00°
Fractional positions:
Mg 0.000 0.000 0.500
Mg 0.000 0.500 0.000
Mg 0.500 0.000 0.000
Zn 0.500 0.500 0.500
Au 0.000 0.000 0.000

***

In terms of stability, model w leads; the second structure lies 26.5 kJ/mol of atoms higher.

***

Model w:
This record from the Alexandria database describes a relaxed structure of Mg2ZnAu5. The functional is PBE.

Values from the calculation:
M_tot = 0.00 Bohr magnetons per cell

a = 6.123 Å, b = 6.123 Å, c = 4.754 Å
α = 90.00°, β = 90.00°, γ = 90.00°
Fractional positions:
Mg 0.000 0.500 0.000
Mg 0.500 0.000 0.000
Zn 0.000 0.000 0.500
Au 0.000 0.000 0.000
Au 0.282 0.282 0.500
Au 0.282 0.718 0.500
Au 0.718 0.282 0.500
Au 0.718 0.718 0.500

***

Model x:
This record from the Alexandria database describes a relaxed structure of Mg2ZnAu5. The functional is PBE.

Values from the calculation:
M_tot = 0.00 Bohr magnetons per cell

a = 5.675 Å, b = 11.378 Å, c = 4.335 Å
α = 90.00°, β = 90.00°, γ = 90.00°
Fractional positions:
Mg 0.192 0.139 0.000
Mg 0.308 0.639 0.000
Mg 0.692 0.361 0.000
Mg 0.808 0.861 0.000
Zn 0.000 0.500 0.500
Zn 0.500 0.000 0.500
Au 0.000 0.000 0.500
Au 0.051 0.744 0.500
Au 0.192 0.396 0.000
Au 0.308 0.896 0.000
Au 0.449 0.244 0.500
Au 0.500 0.500 0.500
Au 0.551 0.756 0.500
Au 0.692 0.104 0.000
Au 0.808 0.604 0.000
Au 0.949 0.256 0.500

***

In terms of stability, model x leads; the second structure lies 36.3 kJ/mol of atoms higher.

***

Model w:
This record from the Alexandria database describes a relaxed structure of Mg8Zn2Au. The functional is PBE.

Values from the calculation:
M_tot = 0.00 Bohr magnetons per cell

a = 8.335 Å, b = 8.335 Å, c = 6.545 Å
α = 111.14°, β = 111.14°, γ = 32.21°
Fractional positions:
Mg 0.022 0.022 0.277
Mg 0.194 0.194 0.776
Mg 0.336 0.336 0.560
Mg 0.399 0.399 0.057
Mg 0.601 0.601 0.943
Mg 0.664 0.664 0.440
Mg 0.806 0.806 0.224
Mg 0.978 0.978 0.723
Zn 0.179 0.179 0.185
Zn 0.821 0.821 0.815
Au 0.500 0.500 0.500

***

Model x:
This record from the Alexandria database describes a relaxed structure of Mg8Zn2Au. The functional is PBE.

Values from the calculation:
M_tot = 0.00 Bohr magnetons per cell

a = 7.970 Å, b = 7.970 Å, c = 7.970 Å
α = 146.88°, β = 126.59°, γ = 64.30°
Fractional positions:
Mg 0.121 0.346 0.776
Mg 0.156 0.156 0.000
Mg 0.291 0.000 0.291
Mg 0.430 0.654 0.776
Mg 0.570 0.346 0.224
Mg 0.709 0.000 0.709
Mg 0.844 0.844 0.000
Mg 0.879 0.654 0.224
Zn 0.314 0.814 0.500
Zn 0.686 0.186 0.500
Au 0.000 0.500 0.500

***

In terms of stability, model w leads; the second structure lies 1.0 kJ/mol of atoms higher.

***

Model w:
This record from the Alexandria database describes a relaxed structure of Mg2ZrAu. The functional is PBE.

Values from the calculation:
M_tot = 0.00 Bohr magnetons per cell

a = 5.329 Å, b = 5.329 Å, c = 5.251 Å
α = 104.45°, β = 104.45°, γ = 35.32°
Fractional positions:
Mg 0.000 0.000 0.000
Mg 0.239 0.239 0.798
Zr 0.466 0.466 0.477
Au 0.723 0.723 0.295

***

Model x:
This record from the Alexandria database describes a relaxed structure of Mg2ZrAu. The functional is PBE.

Values from the calculation:
M_tot = 0.00 Bohr magnetons per cell

a = 4.784 Å, b = 4.784 Å, c = 4.784 Å
α = 60.00°, β = 60.00°, γ = 60.00°
Fractional positions:
Mg 0.250 0.250 0.250
Mg 0.750 0.750 0.750
Zr 0.000 0.000 0.000
Au 0.500 0.500 0.500

***

In terms of stability, model w leads; the second structure lies 5.7 kJ/mol of atoms higher.